{"formula": "Tc3GeOs", "functional": "GGA-PBE", "state": "optimized geometry", "cell": [[4.430, 0.000, 0.000], [0.000, 4.430, 0.000], [0.000, 0.000, 4.430]], "species": ["Tc", "Tc", "Tc", "Ge", "Os"], "frac_coords": [[0.000, 0.000, 0.500], [0.000, 0.500, 0.000], [0.500, 0.000, 0.000], [0.000, 0.000, 0.000], [0.500, 0.500, 0.500]], "volume_a3_per_cell": 87.0, "relative_energy_mev_per_atom": 0, "e_form_ev_per_fu": 8.03}